An optimized crystal structure of ReTc2Os, computed with PBE.

Calculated values
Density, kg/m3: 10884
ΔE_f, eV/atom: 1.432
Crystal system: tetragonal
Total moment, μB per atom: 0.000
Offset from the most stable computed form, meV/atom: 1484.3

The structure in extended XYZ format:
```
8
Lattice="-2.8015 2.8015 5.5638 2.8015 -2.8015 5.5638 2.8015 2.8015 -5.5638" Properties=species:S:1:pos:R:3 pbc="T T T"
Re 0.0000 0.0000 0.0000
Re 0.0000 2.8015 2.7819
Tc 1.4007 -1.3843 4.1728
Tc 1.4171 1.4007 1.3909
Tc 1.4007 4.1858 -1.3909
Tc 1.3843 1.4007 6.9547
Os 2.8015 0.0000 2.7819
Os 0.0000 0.0000 5.5638
```